{"formula": "Y7ErTm2", "functional": "GGA-PBE", "state": "optimized geometry", "n_ef_per_ev_cell": 17.6, "volume_a3_per_cell": 324, "m_tot_mub_per_cell": 0.0, "ef_ev_per_fu": 2.16, "rho_g_cm3": 5.78, "relative_energy_ev_per_atom": 0.000, "e_tot_ev_per_atom": -5.660, "cell": [[3.2095, -14.5703, 0.0000], [3.2095, 14.5703, 0.0000], [0.0000, 0.0000, 3.4661]], "species": ["Y", "Y", "Y", "Y", "Y", "Y", "Y", "Er", "Tm", "Tm"], "frac_coords": [[0.0000, 0.0000, 0.0000], [0.1584, 0.3575, 0.0000], [0.1893, 0.8107, 0.5000], [0.3575, 0.1584, 0.0000], [0.6425, 0.8416, 0.0000], [0.8107, 0.1893, 0.5000], [0.8416, 0.6425, 0.0000], [0.5000, 0.5000, 0.5000], [0.2916, 0.7084, 0.0000], [0.7084, 0.2916, 0.0000]]}